DFT (PBE) results for a geometry-optimized Cd6Cu2Au structure.

Geometry as CIF:
```
data_Cd6Cu2Au
_chemical_formula_sum 'Cd24 Cu8 Au4'
_cell_length_a 4.396
_cell_length_b 11.649
_cell_length_c 13.429
_cell_angle_alpha 90.00
_cell_angle_beta 90.00
_cell_angle_gamma 90.00
_symmetry_space_group_name_H-M 'F m m m'
_symmetry_Int_Tables_number 69
_symmetry_space_group_name_Hall '-F 2 2'
loop_
_atom_site_label
_atom_site_type_symbol
_atom_site_fract_x
_atom_site_fract_y
_atom_site_fract_z
Cd1 Cd 0.000 0.150 0.172
Cd2 Cd 0.000 0.159 0.500
Cu1 Cu 0.000 0.000 0.338
Au1 Au 0.000 0.000 0.000
```

Calculated values
Calculated volume (Å³ per cell): 687.72
Total energy (eV per atom): -1.876
Formation enthalpy at 0 K (kJ per mole of atoms): 0.85
Spin magnetization (μB per cell): 0.0